[1]
CsLiTcIr | PBE | relaxed

POSCAR file:
```
CsLiTcIr
1.0
0.0000 3.3373 3.3373
3.3373 0.0000 3.3373
3.3373 3.3373 0.0000
Cs Li Tc Ir
1 1 1 1
Direct
0.0000 0.0000 0.0000
0.7500 0.7500 0.7500
0.2500 0.2500 0.2500
0.5000 0.5000 0.5000
```

Calculated values
excess energy over the best structure of this formula in the dataset = 0.00 eV/f.u.

=====

[2]
CsLiTcIr | PBE | relaxed

POSCAR file:
```
CsLiTcIr
1.0
0.0000 3.3877 3.3877
3.3877 0.0000 3.3877
3.3877 3.3877 0.0000
Cs Li Tc Ir
1 1 1 1
Direct
0.0000 0.0000 0.0000
0.5000 0.5000 0.5000
0.7500 0.7500 0.7500
0.2500 0.2500 0.2500
```

Calculated values
excess energy over the best structure of this formula in the dataset = 1.58 eV/f.u.

=====

[3]
CsMgIr | PBE | relaxed

POSCAR file:
```
CsMgIr
1.0
0.0000 3.5247 3.5247
3.5247 0.0000 3.5247
3.5247 3.5247 0.0000
Cs Mg Ir
1 1 1
Direct
0.0000 0.0000 0.0000
0.2500 0.2500 0.2500
0.7500 0.7500 0.7500
```

Calculated values
excess energy over the best structure of this formula in the dataset = 2.67 eV/f.u.

=====

[4]
CsMgIr | PBE | relaxed

POSCAR file:
```
CsMgIr
1.0
0.0000 3.4833 3.4833
3.4833 0.0000 3.4833
3.4833 3.4833 0.0000
Cs Mg Ir
1 1 1
Direct
0.0000 0.0000 0.0000
0.5000 0.5000 0.5000
0.2500 0.2500 0.2500
```

Calculated values
excess energy over the best structure of this formula in the dataset = 0.00 eV/f.u.

=====

Which formula does entry 1 have?
CsLiTcIr

=====

The highest excess energy over the best structure of this formula in the dataset belongs to which entry?
number 3